Computed, not measured: a geometry-optimized Ca2V3O8 structure at the GGA+U level of DFT.

abc: 6.0679 6.0679 10.5663
angles: 90.00 90.00 120.00
Space group P6_3 (No. 173)
One atom of each set of equivalent atoms:
1 Ca 0.3333 0.6667 0.0000
2 Ca 0.3333 0.6667 0.4073
3 V 0.1602 0.3267 0.6857
4 O 0.0000 0.0000 0.0868
5 O 0.0459 0.5383 0.5825
6 O 0.1392 0.8290 0.2766
7 O 0.3333 0.6667 0.7863

Values from the calculation:
Excess energy over the best structure of this formula in the dataset   84 meV/atom



Computed, not measured: a geometry-optimized Ca2VO5 structure at the GGA+U level of DFT.

abc: 4.081 11.280 10.255
angles: 90.00 90.00 90.00
Space group Cmcm (No. 63)
One atom of each set of equivalent atoms:
1 Ca 0.000 0.143 0.073
2 V 0.000 0.189 0.750
3 O 0.000 0.053 0.643
4 O 0.000 0.281 0.250
5 O 0.000 0.282 0.603

Values from the calculation:
Total energy   -216.16 eV/cell



Computed, not measured: a geometry-optimized CaV4O8 structure at the GGA+U level of DFT.

abc: 10.523 5.923 7.518
angles: 90.00 131.73 90.00
Space group C2/m (No. 12)
One atom of each set of equivalent atoms:
1 Ca 0.000 0.000 0.000
2 V 0.000 0.251 0.500
3 V 0.230 0.500 0.449
4 O 0.003 0.500 0.323
5 O 0.012 0.000 0.329
6 O 0.233 0.239 0.307

Values from the calculation:
Excess energy over the best structure of this formula in the dataset   0 meV/atom



Computed, not measured: a geometry-optimized CaV4O10 structure at the GGA+U level of DFT.

abc: 3.630 11.484 5.017
angles: 90.00 90.00 90.00
Space group Pmm2 (No. 25)
One atom of each set of equivalent atoms:
1 Ca 0.000 0.000 0.000
2 V 0.000 0.349 0.238
3 V 0.500 0.154 0.460
4 O 0.000 0.177 0.322
5 O 0.000 0.353 0.917
6 O 0.000 0.500 0.344
7 O 0.500 0.000 0.298
8 O 0.500 0.124 0.790
9 O 0.500 0.321 0.347

Values from the calculation:
Excess energy over the best structure of this formula in the dataset   0 meV/atom



Computed, not measured: a geometry-optimized Ca2V3O8 structure at the GGA+U level of DFT.

abc: 11.264 6.245 4.972
angles: 90.00 111.13 90.00
Space group C2/m (No. 12)
One atom of each set of equivalent atoms:
1 Ca 0.224 0.000 0.161
2 V 0.000 0.232 0.500
3 V 0.000 0.500 0.000
4 O 0.099 0.500 0.395
5 O 0.102 0.000 0.451
6 O 0.105 0.281 0.887

Values from the calculation:
Excess energy over the best structure of this formula in the dataset   0 meV/atom



Computed, not measured: a geometry-optimized Ca3VO structure at the GGA+U level of DFT.

abc: 5.672 5.672 5.672
angles: 90.00 90.00 90.00
Space group Pm-3m (No. 221)
One atom of each set of equivalent atoms:
1 Ca 0.000 0.000 0.500
2 V 0.000 0.000 0.000
3 O 0.500 0.500 0.500

Values from the calculation:
Excess energy over the best structure of this formula in the dataset   1583 meV/atom



Computed, not measured: a geometry-optimized Ca3VO structure at the GGA+U level of DFT.

abc: 4.929 4.929 4.929
angles: 90.00 90.00 90.00
Space group Pm-3m (No. 221)
One atom of each set of equivalent atoms:
1 Ca 0.000 0.000 0.500
2 V 0.500 0.500 0.500
3 O 0.000 0.000 0.000

Values from the calculation:
Excess energy over the best structure of this formula in the dataset   0 meV/atom



Computed, not measured: a geometry-optimized Ca10V6O25 structure at the GGA+U level of DFT.

abc: 10.1224 10.1224 6.7302
angles: 90.00 90.00 120.00
Space group P-3 (No. 147)
One atom of each set of equivalent atoms:
1 Ca 0.0268 0.7775 0.2278
2 Ca 0.3333 0.6667 0.0152
3 Ca 0.3333 0.6667 0.5201
4 V 0.0274 0.4065 0.2583
5 O 0.0000 0.0000 0.0000
6 O 0.0663 0.3106 0.4435
7 O 0.0982 0.3633 0.0475
8 O 0.1363 0.6065 0.2822
9 O 0.1635 0.6547 0.7625

Values from the calculation:
Excess energy over the best structure of this formula in the dataset   30 meV/atom



Computed, not measured: a geometry-optimized Ca2VO3 structure at the GGA+U level of DFT.

abc: 3.330 4.704 9.867
angles: 90.00 90.00 90.00
Space group Immm (No. 71)
One atom of each set of equivalent atoms:
1 Ca 0.000 0.000 0.165
2 V 0.000 0.000 0.500
3 O 0.000 0.500 0.155
4 O 0.000 0.500 0.500

Values from the calculation:
Total energy   -82.75 eV/cell



Computed, not measured: a geometry-optimized CaVO4 structure at the GGA+U level of DFT.

abc: 5.334 5.138 5.405
angles: 90.00 102.25 90.00
Space group P2_1/c (No. 14)
One atom of each set of equivalent atoms:
1 Ca 0.000 0.000 0.000
2 V 0.500 0.000 0.500
3 O 0.162 0.105 0.422
4 O 0.422 0.718 0.693

Values from the calculation:
Total energy   -81.76 eV/cell



Computed, not measured: a geometry-optimized CaVO2 structure at the GGA+U level of DFT.

abc: 3.194 8.712 8.794
angles: 81.03 80.13 79.60
Space group P-1 (No. 2)
One atom of each set of equivalent atoms:
1 Ca 0.123 0.234 0.064
2 Ca 0.327 0.563 0.316
3 V 0.028 0.759 0.606
4 V 0.334 0.108 0.743
5 O 0.094 0.041 0.280
6 O 0.282 0.769 0.132
7 O 0.300 0.309 0.555
8 O 0.493 0.674 0.771

Values from the calculation:
Excess energy over the best structure of this formula in the dataset   105 meV/atom



Computed, not measured: a geometry-optimized CaV4O6 structure at the GGA+U level of DFT.

abc: 10.295 3.071 15.586
angles: 90.00 90.32 90.00
Space group Cm (No. 8)
One atom of each set of equivalent atoms:
1 Ca 0.000 0.000 0.000
2 Ca 0.207 0.500 0.498
3 V 0.221 0.000 0.294
4 V 0.223 0.000 0.703
5 V 0.251 0.500 0.111
6 V 0.254 0.500 0.883
7 V 0.454 0.500 0.384
8 V 0.455 0.500 0.613
9 V 0.488 0.000 0.206
10 V 0.492 0.000 0.793
11 O 0.038 0.000 0.499
12 O 0.079 0.500 0.335
13 O 0.079 0.500 0.663
14 O 0.130 0.000 0.829
15 O 0.131 0.000 0.166
16 O 0.168 0.500 0.002
17 O 0.328 0.000 0.409
18 O 0.329 0.000 0.588
19 O 0.359 0.500 0.255
20 O 0.364 0.500 0.743
21 O 0.379 0.000 0.092
22 O 0.388 0.000 0.906

Values from the calculation:
Total energy   -336.94 eV/cell



Copy entry 11 word for word.
Computed, not measured: a geometry-optimized CaVO2 structure at the GGA+U level of DFT.

abc: 3.194 8.712 8.794
angles: 81.03 80.13 79.60
Space group P-1 (No. 2)
One atom of each set of equivalent atoms:
1 Ca 0.123 0.234 0.064
2 Ca 0.327 0.563 0.316
3 V 0.028 0.759 0.606
4 V 0.334 0.108 0.743
5 O 0.094 0.041 0.280
6 O 0.282 0.769 0.132
7 O 0.300 0.309 0.555
8 O 0.493 0.674 0.771

Values from the calculation:
Excess energy over the best structure of this formula in the dataset   105 meV/atom